Entry 1:
16
Lattice="3.353 0.000 0.000 0.000 3.353 0.000 0.000 0.000 13.634" Properties=species:S:1:pos:R:3 comment="Be3Ir SCAN PBEsol geometry" volume_a3_per_atom=9.6 space_group=I4/mmm formation_enthalpy_0k_ev_per_atom=-0.56 n_ef_per_ev_atom=0.269 pbc="T T T"
Be 0.000 0.000 1.701
Be 0.000 0.000 11.933
Be 0.000 1.677 0.000
Be 0.000 1.677 3.409
Be 0.000 1.677 6.817
Be 0.000 1.677 10.226
Be 1.677 0.000 0.000
Be 1.677 0.000 3.409
Be 1.677 0.000 6.817
Be 1.677 0.000 10.226
Be 1.677 1.677 5.116
Be 1.677 1.677 8.518
Ir 0.000 0.000 5.138
Ir 0.000 0.000 8.496
Ir 1.677 1.677 1.679
Ir 1.677 1.677 11.955

Entry 2:
4
Lattice="4.787 0.000 0.000 0.000 4.787 0.000 0.000 0.000 4.787" Properties=species:S:1:pos:R:3 comment="Zr3Mn SCAN PBEsol geometry" volume_a3_per_atom=27.4 space_group=Pm-3m formation_enthalpy_0k_ev_per_atom=0.92 n_ef_per_ev_atom=1.455 pbc="T T T"
Zr 0.000 0.000 2.394
Zr 0.000 2.394 0.000
Zr 2.394 0.000 0.000
Mn 0.000 0.000 0.000

Entry 3:
5
Lattice="5.008 0.000 0.000 0.000 5.008 0.000 0.000 0.000 5.253" Properties=species:S:1:pos:R:3 comment="CdHgPCl2 SCAN PBEsol geometry" volume_a3_per_atom=26.4 space_group=P4/mmm e_form_raw_ev_per_atom=0.03 n_ef_per_ev_atom=0.336 pbc="T T T"
Cd 0.000 0.000 0.000
Hg 2.504 2.504 2.627
P 0.000 0.000 2.627
Cl 0.000 2.504 0.000
Cl 2.504 0.000 0.000